1.
## La5HoIn2 (PBE-GGA)

Data for a geometry-optimized La5HoIn2 structure.

```
16
Lattice="2.6245 -6.1419 0.0000 2.6245 6.1419 0.0000 0.0000 0.0000 16.6082" Properties=species:S:1:pos:R:3 pbc="T T T"
La 2.6245 5.7868 12.4562
La 2.6245 4.3433 0.4573
La 2.6245 4.3433 7.8468
La 2.6245 0.4235 1.7235
La 2.6245 0.4235 6.5806
La 2.6245 -0.4235 10.0276
La 2.6245 -0.4235 14.8847
La 2.6245 -4.3433 8.7614
La 2.6245 -4.3433 16.1509
La 2.6245 -5.7868 4.1521
Ho 2.6245 3.0943 4.1521
Ho 2.6245 -3.0943 12.4562
In 2.6245 2.8031 10.8026
In 2.6245 2.8031 14.1097
In 2.6245 -2.8031 2.4985
In 2.6245 -2.8031 5.8056
```

Summary:
**D(E_F)**: 9.57 states/eV/f.u.
**Energy relative to the elements**: -0.182 eV per atom
**Energy above the most stable polymorph in this dataset**: 11 meV/atom

---

2.
## CeY2Tm (PBE-GGA)

Data for a geometry-optimized CeY2Tm structure.

```
4
Lattice="4.9903 0.0000 0.0000 0.0000 4.9903 0.0000 0.0000 0.0000 5.0243" Properties=species:S:1:pos:R:3 pbc="T T T"
Ce 0.0000 0.0000 0.0000
Y 0.0000 2.4951 2.5121
Y 2.4951 0.0000 2.5121
Tm 2.4951 2.4951 0.0000
```

Summary:
**D(E_F)**: 7.28 states/eV/f.u.
**Energy relative to the elements**: 0.075 eV per atom
**Energy above the most stable polymorph in this dataset**: 12 meV/atom

---

3.
## Pr2As2Pd3 (PBE-GGA)

Data for a geometry-optimized Pr2As2Pd3 structure.

```
7
Lattice="5.2467 -2.0934 0.0000 5.2467 2.0934 0.0000 -2.8254 0.0000 6.5294" Properties=species:S:1:pos:R:3 pbc="T T T"
Pr 0.6554 0.0000 1.7159
Pr 7.0127 0.0000 4.8135
As -0.4291 0.0000 4.6835
As 8.0971 0.0000 1.8459
Pd 3.8000 0.0000 0.4280
Pd 3.8340 0.0000 3.2647
Pd 3.8680 0.0000 6.1015
```

Summary:
**D(E_F)**: 4.00 states/eV/f.u.
**Energy relative to the elements**: -0.922 eV per atom

---

4.
## NaTc2Pt2 (PBE-GGA)

Data for a geometry-optimized NaTc2Pt2 structure.

```
10
Lattice="7.9486 0.0000 0.0000 0.0000 7.9486 0.0000 0.0000 0.0000 2.6745" Properties=species:S:1:pos:R:3 pbc="T T T"
Na 0.0000 0.0000 0.0000
Na 3.9743 3.9743 0.0000
Tc 1.3623 2.6120 1.3373
Tc 2.6120 6.5864 1.3373
Tc 5.3366 1.3623 1.3373
Tc 6.5864 5.3366 1.3373
Pt 0.9846 4.9589 0.0000
Pt 2.9897 0.9846 0.0000
Pt 4.9589 6.9640 0.0000
Pt 6.9640 2.9897 0.0000
```

Summary:
**D(E_F)**: 4.04 states/eV/f.u.
**Energy relative to the elements**: 0.174 eV per atom
**Energy above the most stable polymorph in this dataset**: 141 meV/atom